[1]
Entry from the Alexandria database: crystalline SrIr at its relaxed geometry (GGA-PBE). Values from VASP.

Structure (Quantum ESPRESSO input):
```
&SYSTEM
  ibrav = 0, nat = 2, ntyp = 2
/
ATOMIC_SPECIES
Sr 87.62 Sr.upf
Ir 192.22 Ir.upf
ATOMIC_POSITIONS angstrom
Sr 0.0000 0.0000 0.0000
Ir 3.0867 3.0867 3.0867
CELL_PARAMETERS angstrom
0.0000 3.0867 3.0867
3.0867 0.0000 3.0867
3.0867 3.0867 0.0000
```

Output
ΔE_f   0.744 eV/atom
Space-group type   No. 225

***

[2]
Entry from the Alexandria database: crystalline K3PuBr7 at its relaxed geometry (GGA-PBE). Values from VASP.

Structure (Quantum ESPRESSO input):
```
&SYSTEM
  ibrav = 0, nat = 11, ntyp = 3
/
ATOMIC_SPECIES
K 39.10 K.upf
Pu 244.00 Pu.upf
Br 79.90 Br.upf
ATOMIC_POSITIONS angstrom
K 0.0000 0.0000 0.0000
K 3.7970 2.3582 4.0053
K 3.7970 -2.3582 4.0053
Pu 5.4842 0.0000 0.2249
Br 1.0467 1.9659 5.9758
Br 3.0632 0.0000 1.6469
Br 6.3755 2.0432 1.8754
Br 1.0467 -1.9659 5.9758
Br 4.4041 0.0000 6.3569
Br 6.3755 -2.0432 1.8754
Br 8.8375 0.0000 4.5520
CELL_PARAMETERS angstrom
5.6358 -5.3257 0.0000
5.6358 5.3257 0.0000
-3.5487 0.0000 7.4657
```

Output
E_form (uncorrected)   -1532.2 meV per atom
Space-group type   No. 8

***

[3]
Entry from the Alexandria database: crystalline Dy3Y2Co2 at its relaxed geometry (GGA-PBE). Values from VASP.

Structure (Quantum ESPRESSO input):
```
&SYSTEM
  ibrav = 0, nat = 7, ntyp = 3
/
ATOMIC_SPECIES
Dy 162.50 Dy.upf
Y 88.91 Y.upf
Co 58.93 Co.upf
ATOMIC_POSITIONS angstrom
Dy 0.0000 0.0000 0.0000
Dy -0.2658 0.0000 3.3821
Dy 8.2854 0.0000 4.5303
Y 3.1627 0.0000 1.5547
Y 4.8569 0.0000 6.3576
Co 0.8777 0.0000 6.0015
Co 7.1420 0.0000 1.9108
CELL_PARAMETERS angstrom
5.9748 -1.8434 0.0000
5.9748 1.8434 0.0000
-3.9300 0.0000 7.9123
```

Output
ΔE_f   -0.160 eV/atom
Space-group type   No. 12